## one
Material: BeOs2C
Method: DFT, PBE
State: optimized geometry

CIF file:
```
data_BeOs2C
_cell_length_a 5.500
_cell_length_b 5.500
_cell_length_c 5.500
_cell_angle_alpha 90.00
_cell_angle_beta 90.00
_cell_angle_gamma 90.00
_space_group_name_H-M_alt 'F m -3 m'
_space_group_IT_number 225
_space_group_name_Hall '-F 4 2 3'
loop_
_atom_site_label
_atom_site_fract_x
_atom_site_fract_y
_atom_site_fract_z
_atom_site_occupancy
Be1 0.000 0.000 0.000 1
Os1 0.250 0.250 0.250 1
C1 0.000 0.000 0.500 1
```

Calculated values
Spin magnetization   0.000 μB/cell

=====

## two
Material: BeOs2C
Method: DFT, PBE
State: optimized geometry

CIF file:
```
data_BeOs2C
_cell_length_a 4.394
_cell_length_b 4.394
_cell_length_c 11.055
_cell_angle_alpha 90.00
_cell_angle_beta 90.00
_cell_angle_gamma 90.00
_space_group_name_H-M_alt 'I -4 2 d'
_space_group_IT_number 122
_space_group_name_Hall 'I -4 2bw'
loop_
_atom_site_label
_atom_site_fract_x
_atom_site_fract_y
_atom_site_fract_z
_atom_site_occupancy
Be1 0.000 0.000 0.000 1
Os1 0.205 0.250 0.625 1
C1 0.000 0.000 0.500 1
```

Calculated values
Spin magnetization   0.001 μB/cell

=====

Which is less stable than every other structure shown? two is.